1.
4
Lattice="-3.1893 1.1951 -1.7952 -0.4312 -3.4935 -1.5596 -0.2981 0.0607 4.6984" Properties=species:S:1:pos:R:3 comment="Pd3Rh PBEsol relaxed" final_energy_ev_per_atom=-6.43 space_group="No. 139" formation_energy_mev_per_atom=72 pbc="T T T"
Pd -1.8103 -1.1492 -1.6774
Rh 0.0000 0.0000 0.0000
Pd -2.6488 0.0534 0.6129
Pd -1.2698 -2.2910 0.7307

***

2.
64
Lattice="-3.0463 8.1651 4.6647 -5.1919 2.6279 -7.9904 -7.8404 -4.9126 3.4788" Properties=species:S:1:pos:R:3 comment="Pd2Rh15S15 PBEsol relaxed" final_energy_ev_per_atom=-6.72 e_form_raw_mev_per_atom=-474 space_group="No. 221" pbc="T T T"
S -7.1716 5.4108 -3.6813
Rh -6.5716 1.0929 -3.2276
Rh -5.4979 3.8638 3.1052
Rh -5.0915 0.3438 -0.9497
S -2.4935 0.7450 1.8652
S -6.7918 2.3087 1.9965
Rh -6.4077 6.2367 -1.6424
Rh -8.8068 -0.3075 -2.2359
Rh -3.9636 2.0062 -6.1000
Rh -5.5393 3.9090 -2.9722
S -9.2869 3.5716 -1.8434
S -7.3363 4.7544 4.2230
Rh -5.9856 -3.7504 2.6558
S -3.7693 3.6888 1.5548
Rh -1.2283 0.6217 -1.8904
Rh -2.3256 6.2334 3.5612
Rh -7.7331 2.4633 4.0969
S -12.3094 2.1916 -1.4016
Rh -10.5394 1.9714 3.1254
Pd -1.5231 4.0826 2.3324
Pd -3.9202 -2.4563 1.7394
Pd -2.5960 1.3139 -3.9952
Rh -8.7520 6.9371 0.1112
Rh -4.6295 1.5361 1.7754
Rh -10.9871 5.5366 1.1029
Rh -11.4492 4.3442 -1.6222
S -9.6101 -1.3447 -0.3120
S -8.3932 2.5075 6.2783
S -5.7986 0.9008 -5.3634
S -2.9850 -0.5233 -1.0333
S -6.3513 8.3209 -2.5640
Rh -7.2719 6.1879 2.3890
S -6.7424 -1.9172 3.7505
Rh -1.8549 -1.1622 0.8230
S -4.7005 3.8961 -5.0918
S -6.4685 7.2251 0.4651
S -10.7386 6.4765 -1.0131
Rh -11.1510 0.3928 -0.4823
Rh -9.5070 4.7874 3.3808
S -6.1554 4.1206 -0.7593
S -8.9071 0.4696 3.8345
S -7.2338 -3.1855 0.8519
Rh -10.5807 2.0166 -2.9520
Rh -7.3267 -1.0567 0.0420
S -8.7713 4.9021 1.1974
S -5.3401 -0.5961 1.1662
Rh -8.3456 3.4170 -3.9437
S -3.5377 6.8968 1.7661
S -11.6063 4.0059 2.7448
S -7.3074 0.9782 -1.0443
Rh -0.7207 1.9317 1.1036
S -8.7424 1.1259 -4.0698
Rh -9.2140 5.7447 -2.6139
S -10.0474 -1.7614 -3.4782
S -4.4723 1.8745 -2.5916
S -4.1444 5.1697 4.3931
Rh -4.0592 3.1599 -0.6944
Rh -4.9276 5.4875 0.6354
Rh -6.8646 0.1357 2.7671
Pd -8.0393 2.9402 0.0766
Rh -12.0195 2.7205 0.8475
S -1.8869 2.4721 -0.7617
S -9.9233 1.7598 0.9125
Rh -9.6709 -0.3563 1.7956

***

3.
5
Lattice="4.4641 0.0000 0.0000 0.0000 4.5974 0.0000 0.0000 0.0000 4.5974" Properties=species:S:1:pos:R:3 comment="SiPdRhS2 PBEsol relaxed" final_energy_ev_per_atom=-4.83 e_form_raw_mev_per_atom=892 space_group="No. 123" pbc="T T T"
S 0.0000 2.2987 0.0000
S 0.0000 0.0000 2.2987
Rh 2.2320 2.2987 2.2987
Si 2.2320 0.0000 0.0000
Pd 0.0000 0.0000 0.0000

***

4.
8
Lattice="-5.5984 -1.2985 -2.6646 5.3310 0.4000 -3.8656 2.3969 -5.3334 -2.4368" Properties=species:S:1:pos:R:3 comment="Sb2PdRh PBEsol relaxed" final_energy_ev_per_atom=-5.79 e_form_raw_mev_per_atom=15 space_group="No. 122" pbc="T T T"
Sb -0.4479 -1.0963 -2.2897
Sb 5.3509 -4.5394 -5.3858
Sb -2.0870 -4.3269 -4.8014
Pd 0.2644 -4.7739 -5.7589
Rh 1.8651 -1.4580 -3.2082
Rh -1.6008 -3.3160 -2.5507
Sb 1.4428 -2.5012 -5.4571
Pd 0.0000 0.0000 0.0000

***

5.
5
Lattice="-4.3028 -0.7841 1.6999 -1.4968 -1.1181 -4.3044 1.1243 -4.4892 0.7752" Properties=species:S:1:pos:R:3 comment="ScPd3Rh PBEsol relaxed" final_energy_ev_per_atom=-5.79 space_group="No. 221" formation_energy_mev_per_atom=736 pbc="T T T"
Rh 0.0000 0.0000 0.0000
Pd 0.5621 -2.2446 0.3876
Sc -2.3376 -3.1957 -0.9147
Pd -2.1514 -0.3920 0.8499
Pd -0.7484 -0.5590 -2.1522

***

6.
5
Lattice="4.8498 0.0000 0.0000 0.0000 4.8498 0.0000 0.0000 0.0000 4.8498" Properties=species:S:1:pos:R:3 comment="Sc3PdRh PBEsol relaxed" final_energy_ev_per_atom=-6.93 space_group="No. 221" formation_energy_mev_per_atom=-150 pbc="T T T"
Pd 2.4249 2.4249 2.4249
Sc 0.0000 2.4249 0.0000
Sc 2.4249 0.0000 0.0000
Sc 0.0000 0.0000 2.4249
Rh 0.0000 0.0000 0.0000